Arrangement 1

{
  "formula": "RbNbF2",
  "functional": "GGA-PBE",
  "state": "optimized geometry",
  "sg": "R-3m, No. 166",
  "lattice": [[1.663, 0.960, 7.842], [-1.663, 0.960, 7.842], [0.000, -1.920, 7.842]],
  "species": ["Rb", "Nb", "F", "F"],
  "fractional_positions": [[0.000, 0.000, 0.000], [0.500, 0.500, 0.500], [0.412, 0.412, 0.412], [0.588, 0.588, 0.588]]
}


Arrangement 2

{
  "formula": "RbNbF2",
  "functional": "GGA-PBE",
  "state": "optimized geometry",
  "sg": "I-42d, No. 122",
  "lattice": [[-3.333, 3.333, 3.913], [3.333, -3.333, 3.913], [3.333, 3.333, -3.913]],
  "species": ["Rb", "Rb", "Nb", "Nb", "F", "F", "F", "F"],
  "fractional_positions": [[0.000, 0.000, 0.000], [0.750, 0.250, 0.500], [0.250, 0.750, 0.500], [0.500, 0.500, 0.000], [0.187, 0.625, 0.062], [0.375, 0.437, 0.562], [0.563, 0.125, 0.938], [0.875, 0.813, 0.438]]
}


Which one is most stable, and which one is least stable? arrangement 1 is the most stable of them, while arrangement 2 is the least stable.


Arrangement 1

{
  "formula": "NbRe2F2",
  "functional": "GGA-PBE",
  "state": "optimized geometry",
  "sg": "P4/mbm, No. 127",
  "lattice": [[7.672, 0.000, 0.000], [0.000, 7.672, 0.000], [0.000, 0.000, 2.599]],
  "species": ["Nb", "Nb", "Re", "Re", "Re", "Re", "F", "F", "F", "F"],
  "fractional_positions": [[0.000, 0.000, 0.000], [0.500, 0.500, 0.000], [0.112, 0.388, 0.000], [0.388, 0.888, 0.000], [0.612, 0.112, 0.000], [0.888, 0.612, 0.000], [0.232, 0.732, 0.500], [0.268, 0.232, 0.500], [0.732, 0.768, 0.500], [0.768, 0.268, 0.500]]
}


Arrangement 2

{
  "formula": "NbRe2F2",
  "functional": "GGA-PBE",
  "state": "optimized geometry",
  "sg": "I4/mmm, No. 139",
  "lattice": [[-1.719, 1.719, 5.883], [1.719, -1.719, 5.883], [1.719, 1.719, -5.883]],
  "species": ["Nb", "Re", "Re", "F", "F"],
  "fractional_positions": [[0.000, 0.000, 0.000], [0.395, 0.395, 0.000], [0.605, 0.605, 0.000], [0.250, 0.750, 0.500], [0.750, 0.250, 0.500]]
}


Which one is most stable, and which one is least stable? arrangement 2 is the most stable of them, while arrangement 1 is the least stable.


Arrangement 1

{
  "formula": "Nb3RhF",
  "functional": "GGA-PBE",
  "state": "optimized geometry",
  "sg": "Pm-3m, No. 221",
  "lattice": [[4.855, 0.000, 0.000], [0.000, 4.855, 0.000], [0.000, 0.000, 4.855]],
  "species": ["Nb", "Nb", "Nb", "Rh", "F"],
  "fractional_positions": [[0.000, 0.000, 0.500], [0.000, 0.500, 0.000], [0.500, 0.000, 0.000], [0.000, 0.000, 0.000], [0.500, 0.500, 0.500]]
}


Arrangement 2

{
  "formula": "Nb3RhF",
  "functional": "GGA-PBE",
  "state": "optimized geometry",
  "sg": "Pm-3m, No. 221",
  "lattice": [[4.283, 0.000, 0.000], [0.000, 4.283, 0.000], [0.000, 0.000, 4.283]],
  "species": ["Nb", "Nb", "Nb", "Rh", "F"],
  "fractional_positions": [[0.000, 0.000, 0.500], [0.000, 0.500, 0.000], [0.500, 0.000, 0.000], [0.500, 0.500, 0.500], [0.000, 0.000, 0.000]]
}


Which one is most stable, and which one is least stable? arrangement 2 is the most stable of them, while arrangement 1 is the least stable.


Arrangement 1

{
  "formula": "NbRh3F",
  "functional": "GGA-PBE",
  "state": "optimized geometry",
  "sg": "Pm-3m, No. 221",
  "lattice": [[4.768, 0.000, 0.000], [0.000, 4.768, 0.000], [0.000, 0.000, 4.768]],
  "species": ["Nb", "Rh", "Rh", "Rh", "F"],
  "fractional_positions": [[0.000, 0.000, 0.000], [0.000, 0.000, 0.500], [0.000, 0.500, 0.000], [0.500, 0.000, 0.000], [0.500, 0.500, 0.500]]
}


Arrangement 2

{
  "formula": "NbRh3F",
  "functional": "GGA-PBE",
  "state": "optimized geometry",
  "sg": "Pm-3m, No. 221",
  "lattice": [[4.229, 0.000, 0.000], [0.000, 4.229, 0.000], [0.000, 0.000, 4.229]],
  "species": ["Nb", "Rh", "Rh", "Rh", "F"],
  "fractional_positions": [[0.000, 0.000, 0.000], [0.000, 0.500, 0.500], [0.500, 0.000, 0.500], [0.500, 0.500, 0.000], [0.500, 0.500, 0.500]]
}


Which one is most stable, and which one is least stable? arrangement 2 is the most stable of them, while arrangement 1 is the least stable.


Arrangement 1

{
  "formula": "Nb2RhF",
  "functional": "GGA-PBE",
  "state": "optimized geometry",
  "sg": "Fm-3m, No. 225",
  "lattice": [[0.000, 3.130, 3.130], [3.130, 0.000, 3.130], [3.130, 3.130, 0.000]],
  "species": ["Nb", "Nb", "Rh", "F"],
  "fractional_positions": [[0.250, 0.250, 0.250], [0.750, 0.750, 0.750], [0.000, 0.000, 0.000], [0.500, 0.500, 0.500]]
}


Arrangement 2

{
  "formula": "Nb2RhF",
  "functional": "GGA-PBE",
  "state": "optimized geometry",
  "sg": "I-42d, No. 122",
  "lattice": [[-3.192, 3.192, 3.078], [3.192, -3.192, 3.078], [3.192, 3.192, -3.078]],
  "species": ["Nb", "Nb", "Nb", "Nb", "Rh", "Rh", "F", "F"],
  "fractional_positions": [[0.081, 0.625, 0.956], [0.375, 0.331, 0.456], [0.669, 0.125, 0.044], [0.875, 0.919, 0.544], [0.250, 0.750, 0.500], [0.500, 0.500, 0.000], [0.000, 0.000, 0.000], [0.750, 0.250, 0.500]]
}


Which one is most stable, and which one is least stable? arrangement 2 is the most stable of them, while arrangement 1 is the least stable.


Arrangement 1

{
  "formula": "NbRu2F2",
  "functional": "GGA-PBE",
  "state": "optimized geometry",
  "sg": "P4/mbm, No. 127",
  "lattice": [[6.742, 0.000, 0.000], [0.000, 6.742, 0.000], [0.000, 0.000, 3.113]],
  "species": ["Nb", "Nb", "Ru", "Ru", "Ru", "Ru", "F", "F", "F", "F"],
  "fractional_positions": [[0.000, 0.000, 0.000], [0.500, 0.500, 0.000], [0.123, 0.377, 0.000], [0.377, 0.877, 0.000], [0.623, 0.123, 0.000], [0.877, 0.623, 0.000], [0.211, 0.711, 0.500], [0.289, 0.211, 0.500], [0.711, 0.789, 0.500], [0.789, 0.289, 0.500]]
}


Arrangement 2

{
  "formula": "NbRu2F2",
  "functional": "GGA-PBE",
  "state": "optimized geometry",
  "sg": "I4/mmm, No. 139",
  "lattice": [[-1.671, 1.671, 5.989], [1.671, -1.671, 5.989], [1.671, 1.671, -5.989]],
  "species": ["Nb", "Ru", "Ru", "F", "F"],
  "fractional_positions": [[0.000, 0.000, 0.000], [0.386, 0.386, 0.000], [0.614, 0.614, 0.000], [0.250, 0.750, 0.500], [0.750, 0.250, 0.500]]
}


Which one is most stable, and which one is least stable? arrangement 2 is the most stable of them, while arrangement 1 is the least stable.


Arrangement 1

{
  "formula": "NbRuF2",
  "functional": "GGA-PBE",
  "state": "optimized geometry",
  "sg": "R-3m, No. 166",
  "lattice": [[1.383, 0.798, 9.815], [-1.383, 0.798, 9.815], [0.000, -1.597, 9.815]],
  "species": ["Nb", "Ru", "F", "F"],
  "fractional_positions": [[0.000, 0.000, 0.000], [0.500, 0.500, 0.500], [0.385, 0.385, 0.385], [0.615, 0.615, 0.615]]
}


Arrangement 2

{
  "formula": "NbRuF2",
  "functional": "GGA-PBE",
  "state": "optimized geometry",
  "sg": "I-42d, No. 122",
  "lattice": [[-1.834, 1.834, 7.775], [1.834, -1.834, 7.775], [1.834, 1.834, -7.775]],
  "species": ["Nb", "Nb", "Ru", "Ru", "F", "F", "F", "F"],
  "fractional_positions": [[0.000, 0.000, 0.000], [0.750, 0.250, 0.500], [0.250, 0.750, 0.500], [0.500, 0.500, 0.000], [0.098, 0.625, 0.973], [0.375, 0.348, 0.473], [0.652, 0.125, 0.027], [0.875, 0.902, 0.527]]
}


Which one is most stable, and which one is least stable? arrangement 1 is the most stable of them, while arrangement 2 is the least stable.


Arrangement 1

{
  "formula": "NbRu3F",
  "functional": "GGA-PBE",
  "state": "optimized geometry",
  "sg": "Pm-3m, No. 221",
  "lattice": [[4.776, 0.000, 0.000], [0.000, 4.776, 0.000], [0.000, 0.000, 4.776]],
  "species": ["Nb", "Ru", "Ru", "Ru", "F"],
  "fractional_positions": [[0.000, 0.000, 0.000], [0.000, 0.000, 0.500], [0.000, 0.500, 0.000], [0.500, 0.000, 0.000], [0.500, 0.500, 0.500]]
}


Arrangement 2

{
  "formula": "NbRu3F",
  "functional": "GGA-PBE",
  "state": "optimized geometry",
  "sg": "Pm-3m, No. 221",
  "lattice": [[4.184, 0.000, 0.000], [0.000, 4.184, 0.000], [0.000, 0.000, 4.184]],
  "species": ["Nb", "Ru", "Ru", "Ru", "F"],
  "fractional_positions": [[0.000, 0.000, 0.000], [0.000, 0.500, 0.500], [0.500, 0.000, 0.500], [0.500, 0.500, 0.000], [0.500, 0.500, 0.500]]
}


Which one is most stable, and which one is least stable? arrangement 2 is the most stable of them, while arrangement 1 is the least stable.